i | Material: ReOsRu2
Method: DFT, GGA-PBE
State: optimized geometry

Unit cell a=3.264 b=3.264 c=5.514 alpha=90.00 beta=90.00 gamma=90.00
Element x y z (fractional)
Re 0.000 0.000 0.000
Os 0.000 0.000 0.500
Ru 0.500 0.500 0.251
Ru 0.500 0.500 0.749

## Properties
- crystal system = tetragonal

ii | Material: ReOsRu2
Method: DFT, GGA-PBE
State: optimized geometry

Unit cell a=2.728 b=2.728 c=26.663 alpha=90.00 beta=90.00 gamma=120.00
Element x y z (fractional)
Re 0.000 0.000 0.000
Re 0.333 0.667 0.667
Re 0.667 0.333 0.333
Os 0.000 0.000 0.751
Os 0.333 0.667 0.417
Os 0.667 0.333 0.084
Ru 0.000 0.000 0.250
Ru 0.000 0.000 0.500
Ru 0.333 0.667 0.167
Ru 0.333 0.667 0.916
Ru 0.667 0.333 0.583
Ru 0.667 0.333 0.834

## Properties
- crystal system = trigonal

iii | Material: ReOsRu2
Method: DFT, GGA-PBE
State: optimized geometry

Unit cell a=5.551 b=5.551 c=11.039 alpha=90.00 beta=90.00 gamma=90.00
Element x y z (fractional)
Re 0.000 0.000 0.000
Re 0.000 0.500 0.250
Re 0.500 0.000 0.750
Re 0.500 0.500 0.500
Os 0.000 0.000 0.500
Os 0.000 0.500 0.750
Os 0.500 0.000 0.250
Os 0.500 0.500 0.000
Ru 0.248 0.250 0.625
Ru 0.250 0.748 0.875
Ru 0.250 0.752 0.375
Ru 0.252 0.250 0.125
Ru 0.748 0.750 0.125
Ru 0.750 0.248 0.375
Ru 0.750 0.252 0.875
Ru 0.752 0.750 0.625

## Properties
- crystal system = tetragonal

iv | Material: ReOsRu2
Method: DFT, GGA-PBE
State: optimized geometry

Unit cell a=5.456 b=7.674 c=2.728 alpha=90.00 beta=90.00 gamma=90.00
Element x y z (fractional)
Re 0.000 0.000 0.000
Re 0.500 0.500 0.000
Os 0.000 0.500 0.000
Os 0.500 0.000 0.000
Ru 0.250 0.250 0.500
Ru 0.250 0.750 0.500
Ru 0.750 0.250 0.500
Ru 0.750 0.750 0.500

## Properties
- crystal system = orthorhombic

Taking the most stable structure as the zero point, the relative energies in meV per atom are i 461; ii 32; iii 1279; iv 0.